The following is a PBE-GGA calculation of a relaxed structure of Hg2BrF2, from the Alexandria database.

Cell lengths 7.3078, 7.3078, 3.5175 Å; angles 90.00, 90.00, 90.00 degrees
Element x y z (fractional)
Hg (0.3550, 0.8550, 0.0000)
Hg (0.8550, 0.6450, 0.0000)
Hg (0.6450, 0.1450, 0.0000)
Hg (0.1450, 0.3550, 0.0000)
Br (0.0000, 0.0000, 0.0000)
Br (0.5000, 0.5000, 0.0000)
F (0.1359, 0.6359, 0.5000)
F (0.6359, 0.8641, 0.5000)
F (0.8641, 0.3641, 0.5000)
F (0.3641, 0.1359, 0.5000)

Properties
- Total magnetization: 0.0 μB/f.u.
- Total DFT energy (no corrections): -1.980 eV/atom
- Energy relative to the elements, uncorrected: -0.7761 eV/atom

***

The following is a PBE-GGA calculation of a relaxed structure of Hg2BrF, from the Alexandria database.

Cell lengths 4.8143, 4.3915, 11.5759 Å; angles 90.00, 105.46, 90.00 degrees
Element x y z (fractional)
Hg (0.8622, 0.0000, 0.6570)
Hg (0.8622, 0.5000, 0.1570)
Hg (0.6971, 0.0000, 0.4233)
Hg (0.6971, 0.5000, 0.9233)
Br (0.1779, 0.0000, 0.8772)
Br (0.1779, 0.5000, 0.3772)
F (0.6285, 0.0000, 0.2307)
F (0.6285, 0.5000, 0.7307)

Properties
- Total magnetization: 0.0 μB/f.u.
- Total DFT energy (no corrections): -1.818 eV/atom
- Energy relative to the elements, uncorrected: -0.7812 eV/atom

***

The following is a PBE-GGA calculation of a relaxed structure of HgBrF, from the Alexandria database.

Cell lengths 5.5547, 3.9192, 3.9192 Å; angles 120.00, 90.00, 90.00 degrees
Element x y z (fractional)
Hg (0.0426, 0.0000, 0.0000)
Br (0.7466, 0.6667, 0.3333)
F (0.2108, 0.3333, 0.6667)

Properties
- Total magnetization: 0.0 μB/f.u.
- Total DFT energy (no corrections): -2.141 eV/atom
- Energy relative to the elements, uncorrected: -0.8592 eV/atom

***

The following is a PBE-GGA calculation of a relaxed structure of Hg2Br2F, from the Alexandria database.

Cell lengths 4.4479, 4.4622, 8.6193 Å; angles 99.27, 103.26, 103.54 degrees
Element x y z (fractional)
Hg (0.8095, 0.7311, 0.8933)
Hg (0.9941, 0.1496, 0.4864)
Br (0.5940, 0.1011, 0.0492)
Br (0.5052, 0.6477, 0.4958)
F (0.0332, 0.4162, 0.7989)

Properties
- Total magnetization: 0.0 μB/f.u.
- Total DFT energy (no corrections): -1.792 eV/atom
- Energy relative to the elements, uncorrected: -0.6280 eV/atom

***

The following is a PBE-GGA calculation of a relaxed structure of HgBr3F, from the Alexandria database.

Cell lengths 5.0102, 5.0102, 5.0102 Å; angles 90.00, 90.00, 90.00 degrees
Element x y z (fractional)
Hg (0.5000, 0.5000, 0.5000)
Br (0.0000, 0.5000, 0.0000)
Br (0.0000, 0.0000, 0.5000)
Br (0.5000, 0.0000, 0.0000)
F (0.0000, 0.0000, 0.0000)

Properties
- Total magnetization: 0.0 μB/f.u.
- Total DFT energy (no corrections): -1.194 eV/atom
- Energy relative to the elements, uncorrected: 0.2440 eV/atom

***

The following is a PBE-GGA calculation of a relaxed structure of Hg2Br3F, from the Alexandria database.

Cell lengths 4.5257, 8.3842, 11.8579 Å; angles 94.99, 79.00, 74.34 degrees
Element x y z (fractional)
Hg (0.8910, 0.3465, 0.8716)
Hg (0.1090, 0.6535, 0.1284)
Hg (0.6428, 0.0713, 0.6432)
Hg (0.3572, 0.9287, 0.3568)
Br (0.0731, 0.0317, 0.8221)
Br (0.9269, 0.9683, 0.1779)
Br (0.7134, 0.6578, 0.9155)
Br (0.2866, 0.3422, 0.0845)
Br (0.8452, 0.7919, 0.5178)
Br (0.1548, 0.2082, 0.4822)
F (0.4720, 0.3126, 0.7434)
F (0.5280, 0.6874, 0.2566)

Properties
- Total magnetization: 0.0 μB/f.u.
- Total DFT energy (no corrections): -1.942 eV/atom
- Energy relative to the elements, uncorrected: -0.6928 eV/atom

***

The following is a PBE-GGA calculation of a relaxed structure of Hg2Br2F, from the Alexandria database.

Cell lengths 4.6079, 5.4379, 6.4684 Å; angles 84.58, 69.56, 88.60 degrees
Element x y z (fractional)
Hg (0.4830, 0.8334, 0.8624)
Hg (0.7176, 0.7615, 0.4041)
Br (0.2719, 0.0350, 0.2734)
Br (0.5646, 0.3418, 0.6985)
F (0.8989, 0.7064, 0.0380)

Properties
- Total magnetization: 0.0 μB/f.u.
- Total DFT energy (no corrections): -1.767 eV/atom
- Energy relative to the elements, uncorrected: -0.6034 eV/atom

***

The following is a PBE-GGA calculation of a relaxed structure of In2Hg2BrF, from the Alexandria database.

Cell lengths 4.6015, 8.4506, 9.1585 Å; angles 90.00, 90.00, 90.00 degrees
Element x y z (fractional)
In (0.0000, 0.1967, 0.7554)
In (0.5000, 0.2776, 0.4064)
In (0.0000, 0.6967, 0.2446)
In (0.5000, 0.7776, 0.5936)
Hg (0.5000, 0.0338, 0.0757)
Hg (0.0000, 0.3271, 0.1214)
Hg (0.5000, 0.5338, 0.9243)
Hg (0.0000, 0.8271, 0.8786)
Br (0.0000, 0.0023, 0.4469)
Br (0.0000, 0.5023, 0.5531)
F (0.5000, 0.2080, 0.6516)
F (0.5000, 0.7080, 0.3484)

Properties
- Total magnetization: 0.0 μB/f.u.
- Total DFT energy (no corrections): -2.368 eV/atom
- Energy relative to the elements, uncorrected: -0.7636 eV/atom

***

The following is a PBE-GGA calculation of a relaxed structure of Hg2IrBrF, from the Alexandria database.

Cell lengths 5.4266, 4.0252, 5.4266 Å; angles 90.00, 90.00, 90.00 degrees
Site moments in Bohr magnetons follow the coordinates.
Element x y z (fractional)
Ir (0.0000, 0.0000, 0.0000)  0.34
Hg (0.0000, 0.0000, 0.5000)  0.00
Hg (0.5000, 0.0000, 0.0000)  0.00
Br (0.5000, 0.5000, 0.5000)  0.01
F (0.0000, 0.5000, 0.0000)  0.07

Properties
- Total magnetization: 0.4 μB/f.u.
- Total DFT energy (no corrections): -2.710 eV/atom
- Energy relative to the elements, uncorrected: -0.1079 eV/atom

***

The following is a PBE-GGA calculation of a relaxed structure of KHgBrF2, from the Alexandria database.

Cell lengths 4.6704, 4.6704, 5.5398 Å; angles 90.00, 90.00, 90.00 degrees
Element x y z (fractional)
K (0.5000, 0.5000, 0.5000)
Hg (0.0000, 0.0000, 0.0000)
Br (0.0000, 0.0000, 0.5000)
F (0.0000, 0.5000, 0.0000)
F (0.5000, 0.0000, 0.0000)

Properties
- Total magnetization: 0.0 μB/f.u.
- Total DFT energy (no corrections): -2.926 eV/atom
- Energy relative to the elements, uncorrected: -1.5628 eV/atom

***

The following is a PBE-GGA calculation of a relaxed structure of KHgBrF2, from the Alexandria database.

Cell lengths 4.8103, 6.6555, 8.1532 Å; angles 84.55, 90.00, 90.00 degrees
Element x y z (fractional)
K (0.7500, 0.1848, 0.6042)
K (0.2500, 0.8152, 0.3958)
Hg (0.2500, 0.8278, 0.8929)
Hg (0.7500, 0.1722, 0.1071)
Br (0.7500, 0.5045, 0.2266)
Br (0.2500, 0.4955, 0.7734)
F (0.7500, 0.9765, 0.9074)
F (0.2500, 0.0235, 0.0926)
F (0.2500, 0.0375, 0.6464)
F (0.7500, 0.9625, 0.3536)

Properties
- Total magnetization: 0.0 μB/f.u.
- Total DFT energy (no corrections): -3.027 eV/atom
- Energy relative to the elements, uncorrected: -1.6641 eV/atom

***

The following is a PBE-GGA calculation of a relaxed structure of K2HgBr2F2, from the Alexandria database.

Cell lengths 4.8192, 4.8192, 8.7471 Å; angles 105.99, 105.99, 90.00 degrees
Element x y z (fractional)
K (0.3863, 0.3864, 0.7727)
K (0.6137, 0.6136, 0.2273)
Hg (0.0000, 0.0000, 0.0000)
Br (0.1655, 0.1655, 0.3311)
Br (0.8345, 0.8345, 0.6689)
F (0.0000, 0.5000, 0.0000)
F (0.5000, 0.0000, 0.0000)

Properties
- Total magnetization: 0.0 μB/f.u.
- Total DFT energy (no corrections): -3.079 eV/atom
- Energy relative to the elements, uncorrected: -1.7100 eV/atom